This record from Alexandria via LeMat-Bulk describes a relaxed structure of LiMo2P3O11. The functional is PBE with a Hubbard U.

Results
The calculation puts the density of states at the Fermi level at 0.000 states/eV per atom. For the raw total energy, the calculation gives -0.5293 Ry/atom.

Structure (CIF):
```
data_LiMo2P3O11
_cell_length_a 11.911
_cell_length_b 8.993
_cell_length_c 9.207
_cell_angle_alpha 90.00
_cell_angle_beta 115.63
_cell_angle_gamma 90.00
_symmetry_space_group_name_H-M 'C 1 2 1'
_symmetry_Int_Tables_number 5
_symmetry_space_group_name_Hall 'C 2y'
loop_
_atom_site_label
_atom_site_type_symbol
_atom_site_fract_x
_atom_site_fract_y
_atom_site_fract_z
Li1 Li 0.250 0.000 0.172
Mo1 Mo 0.120 0.507 0.296
Mo2 Mo 0.121 0.027 0.791
P1 P 0.000 0.223 0.000
P2 P 0.000 0.310 0.500
P3 P 0.113 0.830 0.467
P4 P 0.116 0.705 0.973
O1 O 0.000 0.764 0.500
O2 O 0.000 0.768 0.000
O3 O 0.059 0.927 0.316
O4 O 0.061 0.315 0.153
O5 O 0.066 0.218 0.654
O6 O 0.071 0.607 0.822
O7 O 0.102 0.413 0.490
O8 O 0.104 0.118 0.994
O9 O 0.185 0.698 0.452
O10 O 0.188 0.609 0.126
O11 O 0.189 0.842 0.970
O12 O 0.189 0.925 0.621
```